# Y3TmBi2

Y3TmBi2 after structural relaxation (GGA-PBE, the Alexandria database).

abc: 8.8198 8.8198 12.0618
angles: 116.58 116.58 28.60
Closest atoms and distances in Å follow each position.
Element x y z (fractional)
Y1 0.0564 0.0564 0.2223  3 Bi 3.27-3.41
Y2 0.2413 0.2413 0.6463  4 Bi 3.08-3.44
Y3 0.3855 0.3855 0.9797  3 Bi 3.24-3.38, 1 Y 3.62
Y4 0.6145 0.6145 0.0203  3 Bi 3.24-3.38, 1 Y 3.62
Y5 0.7587 0.7587 0.3537  4 Bi 3.08-3.44
Y6 0.9436 0.9436 0.7777  3 Bi 3.27-3.41
Tm1 0.4199 0.4199 0.3261  4 Bi 3.00-3.09
Tm2 0.5801 0.5801 0.6739  4 Bi 3.00-3.09
Bi1 0.1635 0.1635 0.8631  2 Tm 3.00, 2 Y 3.24
Bi2 0.3798 0.3798 0.5506  2 Tm 3.04-3.09, 5 Y 3.08-3.27
Bi3 0.6202 0.6202 0.4494  2 Tm 3.04-3.09, 5 Y 3.08-3.27
Bi4 0.8365 0.8365 0.1369  2 Tm 3.00, 2 Y 3.24

Total magnetization in μB/cell: 0.00
Electronic total energy in eV/f.u.: -33.96
Energy of formation in eV/atom: -0.388